1.
An optimized crystal structure of AlRhW2, computed with PBE-GGA.

## Properties
DFT total energy: -9.444 eV per atom
SG: I4/mmm
volume: 60.71 Å³ per cell

Cell and atoms, written as CIF:
```
data_AlRhW2
_chemical_formula_sum 'Al1 Rh1 W2'
_symmetry_space_group_name_H-M 'P 1'
_symmetry_Int_Tables_number 1
_cell_length_a 5.0998
_cell_length_b 5.0998
_cell_length_c 5.0998
_cell_angle_alpha 137.11
_cell_angle_beta 137.11
_cell_angle_gamma 62.27
loop_
_symmetry_equiv_pos_as_xyz
'x,y,z'
loop_
_atom_site_label
_atom_site_type_symbol
_atom_site_fract_x
_atom_site_fract_y
_atom_site_fract_z
Al1 Al 0.0000 0.0000 0.0000
Rh1 Rh 0.5000 0.5000 0.0000
W1 W 0.2500 0.7500 0.5000
W2 W 0.7500 0.2500 0.5000
```

=====

2.
An optimized crystal structure of Al3RhW, computed with PBE-GGA.

## Properties
DFT total energy: -5.672 eV per atom
SG: Pm-3m
volume: 94.92 Å³ per cell

Cell and atoms, written as CIF:
```
data_Al3RhW
_chemical_formula_sum 'Al3 Rh1 W1'
_symmetry_space_group_name_H-M 'P 1'
_symmetry_Int_Tables_number 1
_cell_length_a 4.5616
_cell_length_b 4.5616
_cell_length_c 4.5616
_cell_angle_alpha 90.00
_cell_angle_beta 90.00
_cell_angle_gamma 90.00
loop_
_symmetry_equiv_pos_as_xyz
'x,y,z'
loop_
_atom_site_label
_atom_site_type_symbol
_atom_site_fract_x
_atom_site_fract_y
_atom_site_fract_z
Al1 Al 0.0000 0.0000 0.5000
Al2 Al 0.0000 0.5000 0.0000
Al3 Al 0.5000 0.0000 0.0000
Rh1 Rh 0.0000 0.0000 0.0000
W1 W 0.5000 0.5000 0.5000
```

=====

3.
An optimized crystal structure of AlRh2W, computed with PBE-GGA.

## Properties
DFT total energy: -8.200 eV per atom
SG: R-3m
volume: 58.49 Å³ per cell

Cell and atoms, written as CIF:
```
data_AlRh2W
_chemical_formula_sum 'Al1 Rh2 W1'
_symmetry_space_group_name_H-M 'P 1'
_symmetry_Int_Tables_number 1
_cell_length_a 8.6746
_cell_length_b 8.6746
_cell_length_c 8.6746
_cell_angle_alpha 18.68
_cell_angle_beta 18.68
_cell_angle_gamma 18.68
loop_
_symmetry_equiv_pos_as_xyz
'x,y,z'
loop_
_atom_site_label
_atom_site_type_symbol
_atom_site_fract_x
_atom_site_fract_y
_atom_site_fract_z
Al1 Al 0.0000 0.0000 0.0000
Rh1 Rh 0.2533 0.2533 0.2533
Rh2 Rh 0.7467 0.7467 0.7467
W1 W 0.5000 0.5000 0.5000
```